1.
This record from the Alexandria database describes Dy5Sn18Rh6 after structural relaxation. The functional is PBEsol.

```
Dy5Sn18Rh6
1.0
0.000 6.884 6.884
6.884 0.000 6.884
6.884 6.884 0.000
Dy Sn Rh
5 18 6
direct
0.000 0.000 0.000
0.109 0.630 0.630
0.630 0.109 0.630
0.630 0.630 0.109
0.630 0.630 0.630
0.010 0.010 0.340
0.010 0.010 0.641
0.010 0.340 0.010
0.010 0.340 0.641
0.010 0.641 0.010
0.010 0.641 0.340
0.250 0.250 0.250
0.340 0.010 0.010
0.340 0.010 0.641
0.340 0.641 0.010
0.413 0.413 0.413
0.413 0.413 0.762
0.413 0.762 0.413
0.641 0.010 0.010
0.641 0.010 0.340
0.641 0.340 0.010
0.750 0.750 0.750
0.762 0.413 0.413
0.255 0.255 0.745
0.255 0.745 0.255
0.255 0.745 0.745
0.745 0.255 0.255
0.745 0.255 0.745
0.745 0.745 0.255
```

Properties
**Formation energy from the elements**: -0.582 eV/atom
**Density**: 9.1 Mg/m³
**Symmetry**: F-43m (216)
**E**: -5.7678 eV/atom

***

2.
This record from the Alexandria database describes Be2CuSe after structural relaxation. The functional is PBEsol.

```
Be2CuSe
1.0
1.930 -3.641 0.000
1.930 3.641 0.000
0.000 0.000 3.832
Be Cu Se
2 1 1
direct
0.181 0.819 0.000
0.819 0.181 0.000
0.500 0.500 0.000
0.000 0.000 0.500
```

Properties
**Density**: 5.0 Mg/m³
**Symmetry**: Cmmm (65)
**E**: -3.9105 eV/atom
**Formation energy without anion corrections**: 136 meV/atom

***

3.
This record from the Alexandria database describes SmCo9Si2 after structural relaxation. The functional is PBEsol.

```
SmCo9Si2
1.0
-4.774 4.774 3.098
4.774 -4.774 3.098
4.774 4.774 -3.098
Sm Co Si
2 18 4
direct
0.375 0.625 0.750
0.625 0.375 0.250
0.125 0.875 0.250
0.140 0.560 0.332
0.140 0.808 0.580
0.192 0.272 0.332
0.192 0.860 0.920
0.272 0.192 0.832
0.272 0.440 0.080
0.440 0.272 0.580
0.440 0.860 0.168
0.560 0.140 0.832
0.560 0.728 0.420
0.728 0.560 0.920
0.728 0.808 0.168
0.808 0.140 0.080
0.808 0.728 0.668
0.860 0.192 0.420
0.860 0.440 0.668
0.875 0.125 0.750
0.000 0.000 0.000
0.000 0.000 0.500
0.000 0.500 0.000
0.500 0.000 0.500
```

Properties
**Density**: 8.7 Mg/m³
**Symmetry**: I4_1/amd (141)
**E**: -7.5230 eV/atom
**Formation energy without anion corrections**: -338 meV/atom

***

4.
This record from the Alexandria database describes ZrSc2Tl after structural relaxation. The functional is PBEsol.

```
ZrSc2Tl
1.0
-2.185 2.185 4.570
2.185 -2.185 4.570
2.185 2.185 -4.570
Zr Sc Tl
1 2 1
direct
0.000 0.000 0.000
0.250 0.750 0.500
0.750 0.250 0.500
0.500 0.500 0.000
```

Properties
**Formation energy from the elements**: -0.172 eV/atom
**E above lowest polymorph**: 0.035 eV per atom
**Density**: 7.3 Mg/m³
**Symmetry**: I4/mmm (139)
**E**: -6.4048 eV/atom

***

5.
This record from the Alexandria database describes LiY2Fe after structural relaxation. The functional is PBEsol.

```
LiY2Fe
1.0
3.289 0.000 0.000
0.000 3.289 0.000
0.000 0.000 8.135
Li Y Fe
1 2 1
direct
0.000 0.000 0.000
0.500 0.500 0.304
0.500 0.500 0.696
0.000 0.000 0.500
```

Properties
**Formation energy from the elements**: 0.064 eV/atom
**Density**: 4.5 Mg/m³
**Symmetry**: P4/mmm (123)
**E**: -6.0793 eV/atom

***

6.
This record from the Alexandria database describes Sc2BeP after structural relaxation. The functional is PBEsol.

```
Sc2BeP
1.0
1.927 -2.506 0.000
1.927 2.506 0.000
0.000 0.000 7.056
Sc Be P
2 1 1
direct
0.000 0.000 0.000
0.500 0.500 0.361
0.000 0.000 0.620
0.500 0.500 0.753
```

Properties
**Formation energy from the elements**: -0.325 eV/atom
**E above lowest polymorph**: 0.562 eV per atom
**Density**: 3.2 Mg/m³
**Symmetry**: Cmm2 (35)
**E**: -6.0752 eV/atom